Material: Nb2InOs
Method: DFT, PBE
State: optimized geometry

Properties
The calculation puts the total moment at 0.00 μB/atom. As for the total DFT energy (no corrections): -8.1050 eV/atom. Its formation energy is 1.69 eV/f.u.

Cell: 6.7580 6.7580 6.7580 Å, 33.96 33.96 33.96°
Positions (direct):
Nb (0.2282, 0.2282, 0.2282)
Nb (0.7718, 0.7718, 0.7718)
In (0.0000, 0.0000, 0.0000)
Os (0.5000, 0.5000, 0.5000)

Material: Nb2InOsPd
Method: DFT, PBE
State: optimized geometry

Properties
The calculation puts the total moment at 0.00 μB/atom. As for the total DFT energy (no corrections): -5.7294 eV/atom. Its formation energy is 10.65 eV/f.u.

Cell: 5.0926 5.0926 4.6747 Å, 90.00 90.00 90.00°
Positions (direct):
Nb (0.0000, 0.5000, 0.0000)
Nb (0.5000, 0.0000, 0.0000)
In (0.0000, 0.0000, 0.0000)
Os (0.5000, 0.5000, 0.5000)
Pd (0.0000, 0.0000, 0.5000)

Material: NbIn2OsSe
Method: DFT, PBE
State: optimized geometry

Properties
The calculation puts the total moment at 0.36 μB/atom. As for the total DFT energy (no corrections): -4.6650 eV/atom. As for the formation energy from raw total energies: 1387 meV/atom.

Cell: 5.2880 5.2880 4.4519 Å, 90.00 90.00 90.00°
Positions (direct):
Nb (0.0000, 0.0000, 0.0000)
In (0.0000, 0.5000, 0.5000)
In (0.5000, 0.0000, 0.5000)
Os (0.5000, 0.5000, 0.0000)
Se (0.5000, 0.5000, 0.5000)

Material: NbInTcOs
Method: DFT, PBE
State: optimized geometry

Properties
The calculation puts the total moment at 0.00 μB/atom. As for the total DFT energy (no corrections): -8.5815 eV/atom. Its formation energy is 0.08 eV/f.u.

Cell: 4.5489 4.5489 4.5489 Å, 60.00 60.00 60.00°
Positions (direct):
Nb (0.0000, 0.0000, 0.0000)
In (0.5000, 0.5000, 0.5000)
Tc (0.2500, 0.2500, 0.2500)
Os (0.7500, 0.7500, 0.7500)

Material: NbTlInOs2
Method: DFT, PBE
State: optimized geometry

Properties
The calculation puts the total moment at 0.00 μB/atom. As for the total DFT energy (no corrections): -5.0831 eV/atom. Its formation energy is 12.22 eV/f.u.

Cell: 4.8413 4.8413 5.0602 Å, 90.00 90.00 90.00°
Positions (direct):
Nb (0.0000, 0.0000, 0.0000)
Tl (0.5000, 0.5000, 0.0000)
In (0.5000, 0.5000, 0.5000)
Os (0.0000, 0.5000, 0.5000)
Os (0.5000, 0.0000, 0.5000)

Material: YNbInOs2
Method: DFT, PBE
State: optimized geometry

Properties
The calculation puts the total moment at 0.00 μB/atom. As for the total DFT energy (no corrections): -7.3305 eV/atom. Its formation energy is 5.08 eV/f.u.

Cell: 4.8086 4.8086 5.1745 Å, 90.00 90.00 90.00°
Positions (direct):
Y (0.0000, 0.0000, 0.0000)
Nb (0.5000, 0.5000, 0.5000)
In (0.5000, 0.5000, 0.0000)
Os (0.0000, 0.5000, 0.5000)
Os (0.5000, 0.0000, 0.5000)

Material: NbZnInOs
Method: DFT, PBE
State: optimized geometry

Properties
The calculation puts the total moment at 0.00 μB/atom. As for the total DFT energy (no corrections): -6.2800 eV/atom. Its formation energy is 0.19 eV/f.u.

Cell: 4.5589 4.5589 4.5589 Å, 60.00 60.00 60.00°
Positions (direct):
Nb (0.0000, 0.0000, 0.0000)
Zn (0.2500, 0.2500, 0.2500)
In (0.5000, 0.5000, 0.5000)
Os (0.7500, 0.7500, 0.7500)

Material: ZrNbInOs2
Method: DFT, PBE
State: optimized geometry

Properties
The calculation puts the total moment at 0.02 μB/atom. As for the total DFT energy (no corrections): -6.8784 eV/atom. Its formation energy is 9.42 eV/f.u.

Cell: 4.8583 4.8583 4.8898 Å, 90.00 90.00 90.00°
Positions (direct):
Zr (0.0000, 0.0000, 0.0000)
Nb (0.0000, 0.0000, 0.5000)
In (0.5000, 0.5000, 0.5000)
Os (0.0000, 0.5000, 0.0000)
Os (0.5000, 0.0000, 0.0000)

Material: Nb2InP2
Method: DFT, PBE
State: optimized geometry

Properties
The calculation puts the total moment at 0.00 μB/atom. As for the total DFT energy (no corrections): -7.1058 eV/atom. Its formation energy is -1.83 eV/f.u.

Cell: 7.2514 7.2514 3.1821 Å, 90.00 90.00 90.00°
Positions (direct):
Nb (0.1535, 0.3465, 0.0000)
Nb (0.3465, 0.8465, 0.0000)
Nb (0.6535, 0.1535, 0.0000)
Nb (0.8465, 0.6535, 0.0000)
In (0.0000, 0.0000, 0.5000)
In (0.5000, 0.5000, 0.5000)
P (0.1352, 0.6352, 0.5000)
P (0.3648, 0.1352, 0.5000)
P (0.6352, 0.8648, 0.5000)
P (0.8648, 0.3648, 0.5000)

Material: Nb2InP
Method: DFT, PBE
State: optimized geometry

Properties
The calculation puts the energy above the most stable polymorph in this dataset at 0.650 eV per formula unit. The calculation puts the total moment at 0.00 μB/atom. As for the total DFT energy (no corrections): -6.8103 eV/atom. Its formation energy is 1.05 eV/f.u.

Cell: 10.1869 10.1869 10.1869 Å, 157.55 157.55 31.96°
Positions (direct):
Nb (0.1186, 0.6250, 0.9936)
Nb (0.3750, 0.3686, 0.4936)
Nb (0.6314, 0.1250, 0.0064)
Nb (0.8750, 0.8814, 0.5064)
In (0.2500, 0.7500, 0.5000)
In (0.5000, 0.5000, 0.0000)
P (0.0000, 0.0000, 0.0000)
P (0.7500, 0.2500, 0.5000)

Material: Nb3InP
Method: DFT, PBE
State: optimized geometry

Properties
The calculation puts the energy above the most stable polymorph in this dataset at 9.736 eV per formula unit. The calculation puts the total moment at 0.13 μB/atom. As for the total DFT energy (no corrections): -5.6151 eV/atom. Its formation energy is 10.28 eV/f.u.

Cell: 5.0169 5.0169 5.0169 Å, 90.00 90.00 90.00°
Positions (direct):
Nb (0.0000, 0.0000, 0.5000)
Nb (0.0000, 0.5000, 0.0000)
Nb (0.5000, 0.0000, 0.0000)
In (0.0000, 0.0000, 0.0000)
P (0.5000, 0.5000, 0.5000)

Material: Nb2InP
Method: DFT, PBE
State: optimized geometry

Properties
The calculation puts the energy above the most stable polymorph in this dataset at 0.000 eV per formula unit. The calculation puts the total moment at 0.00 μB/atom. As for the total DFT energy (no corrections): -6.9728 eV/atom. Its formation energy is 0.40 eV/f.u.

Cell: 4.6277 4.6277 4.6277 Å, 60.00 60.00 60.00°
Positions (direct):
Nb (0.2500, 0.2500, 0.2500)
Nb (0.7500, 0.7500, 0.7500)
In (0.0000, 0.0000, 0.0000)
P (0.5000, 0.5000, 0.5000)